Here is a crystal of ZrTaP2O relaxed with PBEsol from Alexandria via LeMat-Bulk. Energies are from meta-GGA SCAN.

Computed properties:
total moment: 0.00 μB/cell
formation energy (no corrections): -159 meV per atom

a b c (Å): 4.962 4.962 3.785
angles (deg): 90.00 90.00 90.00
Space group P4/mmm (No. 123)
One atom of each set of equivalent atoms:
Zr 0.000 0.000 0.000 (multiplicity 1)
Ta 0.500 0.500 0.500 (multiplicity 1)
P 0.000 0.500 0.000 (multiplicity 2)
O 0.000 0.000 0.500 (multiplicity 1)